Here is VCuReO6 after structural relaxation from the Alexandria database. Energies are from GGA+U.

**M_tot**: 1.002 μB/f.u.
**VASP energy**: -0.27096 Ha/atom
**Calculated density**: 6.7 Mg/m³

a b c (Å): 5.033 5.033 9.028
angles (deg): 90.00 90.00 120.00
Element x y z (fractional)
V (0.333, 0.667, 0.250)
V (0.667, 0.333, 0.750)
Cu (0.000, 0.000, 0.000)
Cu (0.000, 0.000, 0.500)
Re (0.333, 0.667, 0.750)
Re (0.667, 0.333, 0.250)
O (0.007, 0.357, 0.633)
O (0.007, 0.650, 0.867)
O (0.350, 0.357, 0.867)
O (0.350, 0.993, 0.633)
O (0.357, 0.007, 0.133)
O (0.357, 0.350, 0.367)
O (0.643, 0.650, 0.633)
O (0.643, 0.993, 0.867)
O (0.650, 0.007, 0.367)
O (0.650, 0.643, 0.133)
O (0.993, 0.350, 0.133)
O (0.993, 0.643, 0.367)